#a
# TaCoSiIr PBE optimized geometry
# Crystal system ... cubic
# Total magnetic moment ... 1.20 μB per formula unit
data_TaCoSiIr
_cell_length_a 4.3027
_cell_length_b 4.3027
_cell_length_c 4.3027
_cell_angle_alpha 60.00
_cell_angle_beta 60.00
_cell_angle_gamma 60.00
_symmetry_space_group_name_H-M 'P 1'
_symmetry_Int_Tables_number 1
loop_
_symmetry_equiv_pos_as_xyz
'x,y,z'
loop_
_atom_site_label
_atom_site_fract_x
_atom_site_fract_y
_atom_site_fract_z
_atom_site_occupancy
Co1 0.7500 0.7500 0.7500 1
Ir1 0.2500 0.2500 0.2500 1
Si1 0.0000 0.0000 0.0000 1
Ta1 0.5000 0.5000 0.5000 1

***

#b
# TaCoSiIr PBE optimized geometry
# Crystal system ... cubic
# Total magnetic moment ... 1.26 μB per formula unit
data_TaCoSiIr
_cell_length_a 4.3181
_cell_length_b 4.3181
_cell_length_c 4.3181
_cell_angle_alpha 60.00
_cell_angle_beta 60.00
_cell_angle_gamma 60.00
_symmetry_space_group_name_H-M 'P 1'
_symmetry_Int_Tables_number 1
loop_
_symmetry_equiv_pos_as_xyz
'x,y,z'
loop_
_atom_site_label
_atom_site_fract_x
_atom_site_fract_y
_atom_site_fract_z
_atom_site_occupancy
Co1 0.7500 0.7500 0.7500 1
Ir1 0.5000 0.5000 0.5000 1
Si1 0.0000 0.0000 0.0000 1
Ta1 0.2500 0.2500 0.2500 1

***

Which structure is most stable, and how do the rest compare? From most to least stable: #a, #b.